[1]
A plane-wave DFT calculation with GGA-PBE was carried out for a geometry-optimized Ba2LaP structure.

Computed properties:
Density of states at the Fermi level = 4.435 states/eV per cell
Energy of formation from the pure elements = -0.120 eV per atom

Cell and atoms, written as POSCAR:
```
Ba2LaP
1.0
-4.772 0.764 -4.296
-5.356 -3.355 1.366
3.832 4.015 3.316
Ba La P
2 1 1
direct
0.000 0.000 0.000 Ba
0.250 0.750 0.500 Ba
0.500 0.500 0.000 La
0.750 0.250 0.500 P
```

***

[2]
A plane-wave DFT calculation with GGA-PBE was carried out for a geometry-optimized Y3TmSc2Te6 structure.

Computed properties:
Density of states at the Fermi level = 7.194 states/eV per cell
Formation energy from raw total energies = -1214.4 meV per atom

Cell and atoms, written as POSCAR:
```
Y3TmSc2Te6
1.0
-4.205 0.748 0.254
-0.370 -4.559 7.298
3.830 8.339 2.814
Y Tm Sc Te
3 1 2 6
direct
0.500 0.500 0.000 Y
0.836 0.171 0.673 Y
0.164 0.829 0.327 Y
0.500 0.000 0.000 Tm
0.832 0.665 0.665 Sc
0.168 0.335 0.335 Sc
0.333 0.907 0.666 Te
0.670 0.574 0.340 Te
0.667 0.093 0.334 Te
0.005 0.249 0.011 Te
0.995 0.751 0.989 Te
0.330 0.426 0.660 Te
```